Entry 1:
# Sb2AuSe2 | Alexandria | PBE | optimized geometry
# formation energy without anion corrections	-0.02	eV per atom
# symmetry	P4/mbm, No. 127
# E	-3.714	eV per atom
# energy above the lowest structure with this stoichiometry	18	meV per atom
# V	26.348	Å³ per atom
data_Sb2AuSe2
_symmetry_space_group_name_H-M 'P 1'
_symmetry_Int_Tables_number 1
_cell_length_a 8.089
_cell_length_b 8.089
_cell_length_c 4.026
_cell_angle_alpha 90.00
_cell_angle_beta 90.00
_cell_angle_gamma 90.00
loop_
_symmetry_equiv_pos_as_xyz
'x,y,z'
loop_
_atom_site_label
_atom_site_type_symbol
_atom_site_fract_x
_atom_site_fract_y
_atom_site_fract_z
Sb1 Sb 0.297 0.797 0.000
Sb2 Sb 0.797 0.703 0.000
Sb3 Sb 0.703 0.203 0.000
Sb4 Sb 0.203 0.297 0.000
Se1 Se 0.642 0.858 0.500
Se2 Se 0.142 0.642 0.500
Se3 Se 0.858 0.358 0.500
Se4 Se 0.358 0.142 0.500
Au1 Au 0.500 0.500 0.000
Au2 Au 0.000 0.000 0.000

Entry 2:
# AlZnSe3 | Alexandria | PBE | optimized geometry
# formation energy without anion corrections	0.16	eV per atom
# symmetry	Pm-3m, No. 221
# E	-2.938	eV per atom
# V	23.634	Å³ per atom
data_AlZnSe3
_symmetry_space_group_name_H-M 'P 1'
_symmetry_Int_Tables_number 1
_cell_length_a 4.907
_cell_length_b 4.907
_cell_length_c 4.907
_cell_angle_alpha 90.00
_cell_angle_beta 90.00
_cell_angle_gamma 90.00
loop_
_symmetry_equiv_pos_as_xyz
'x,y,z'
loop_
_atom_site_label
_atom_site_type_symbol
_atom_site_fract_x
_atom_site_fract_y
_atom_site_fract_z
Se1 Se 0.000 0.000 0.500
Se2 Se 0.000 0.500 0.000
Se3 Se 0.500 0.000 0.000
Al1 Al 0.000 0.000 0.000
Zn1 Zn 0.500 0.500 0.500

Entry 3:
# La6NdHo2Er | Alexandria | PBE | optimized geometry
# E_form	194	meV per atom
# symmetry	C2/m, No. 12
# E	-4.611	eV per atom
# V	35.604	Å³ per atom
data_La6NdHo2Er
_symmetry_space_group_name_H-M 'P 1'
_symmetry_Int_Tables_number 1
_cell_length_a 9.099
_cell_length_b 7.069
_cell_length_c 6.718
_cell_angle_alpha 121.74
_cell_angle_beta 102.17
_cell_angle_gamma 90.00
loop_
_symmetry_equiv_pos_as_xyz
'x,y,z'
loop_
_atom_site_label
_atom_site_type_symbol
_atom_site_fract_x
_atom_site_fract_y
_atom_site_fract_z
Nd1 Nd 0.500 0.000 0.000
La1 La 0.430 0.635 0.270
La2 La 0.192 0.036 0.628
La3 La 0.570 0.365 0.730
La4 La 0.192 0.592 0.628
La5 La 0.808 0.964 0.372
La6 La 0.808 0.408 0.372
Ho1 Ho 0.165 0.083 0.166
Ho2 Ho 0.835 0.917 0.834
Er1 Er 0.000 0.500 0.000

Entry 4:
# CaEu2Pb | Alexandria | PBE | optimized geometry
# E_form	59	meV per atom
# symmetry	R-3m, No. 166
# E	-6.506	eV per atom
# energy above the lowest structure with this stoichiometry	404	meV per atom
# V	40.144	Å³ per atom
data_CaEu2Pb
_symmetry_space_group_name_H-M 'P 1'
_symmetry_Int_Tables_number 1
_cell_length_a 3.768
_cell_length_b 3.768
_cell_length_c 13.238
_cell_angle_alpha 81.82
_cell_angle_beta 81.82
_cell_angle_gamma 60.00
loop_
_symmetry_equiv_pos_as_xyz
'x,y,z'
loop_
_atom_site_label
_atom_site_type_symbol
_atom_site_fract_x
_atom_site_fract_y
_atom_site_fract_z
Ca1 Ca 0.500 0.500 0.500
Pb1 Pb 0.000 0.000 0.000
Eu1 Eu 0.915 0.915 0.254
Eu2 Eu 0.085 0.085 0.746

Entry 5:
# HgSO3 | Alexandria | PBE | optimized geometry
# formation energy without anion corrections	-0.85	eV per atom
# symmetry	P-1, No. 2
# E	-4.711	eV per atom
# V	20.526	Å³ per atom
data_HgSO3
_symmetry_space_group_name_H-M 'P 1'
_symmetry_Int_Tables_number 1
_cell_length_a 5.401
_cell_length_b 5.734
_cell_length_c 9.766
_cell_angle_alpha 116.86
_cell_angle_beta 124.00
_cell_angle_gamma 56.88
loop_
_symmetry_equiv_pos_as_xyz
'x,y,z'
loop_
_atom_site_label
_atom_site_type_symbol
_atom_site_fract_x
_atom_site_fract_y
_atom_site_fract_z
O1 O 0.520 0.947 0.055
O2 O 0.416 0.669 0.131
O3 O 0.641 0.912 0.596
O4 O 0.218 0.183 0.235
O5 O 0.443 0.427 0.699
O6 O 0.339 0.148 0.776
S1 S 0.347 0.176 0.625
S2 S 0.512 0.919 0.206
Hg1 Hg 0.747 0.200 0.025
Hg2 Hg 0.112 0.896 0.805

Entry 6:
# NpPt6Rh | Alexandria | PBE | optimized geometry
# E_form	-280	meV per atom
# symmetry	P4/mmm, No. 123
# E	-7.347	eV per atom
# energy above the lowest structure with this stoichiometry	0	meV per atom
# V	16.586	Å³ per atom
data_NpPt6Rh
_symmetry_space_group_name_H-M 'P 1'
_symmetry_Int_Tables_number 1
_cell_length_a 4.046
_cell_length_b 5.727
_cell_length_c 5.727
_cell_angle_alpha 90.00
_cell_angle_beta 90.00
_cell_angle_gamma 90.00
loop_
_symmetry_equiv_pos_as_xyz
'x,y,z'
loop_
_atom_site_label
_atom_site_type_symbol
_atom_site_fract_x
_atom_site_fract_y
_atom_site_fract_z
Pt1 Pt 0.000 0.254 0.254
Pt2 Pt 0.000 0.254 0.746
Pt3 Pt 0.000 0.746 0.746
Pt4 Pt 0.500 0.000 0.500
Pt5 Pt 0.500 0.500 0.000
Pt6 Pt 0.000 0.746 0.254
Rh1 Rh 0.500 0.500 0.500
Np1 Np 0.500 0.000 0.000

Entry 7:
# Sc2UCr2C4 | Alexandria | PBE | optimized geometry
# E_form	-193	meV per atom
# symmetry	C2/m, No. 12
# E	-9.092	eV per atom
# V	11.675	Å³ per atom
data_Sc2UCr2C4
_symmetry_space_group_name_H-M 'P 1'
_symmetry_Int_Tables_number 1
_cell_length_a 3.122
_cell_length_b 6.469
_cell_length_c 5.745
_cell_angle_alpha 110.41
_cell_angle_beta 90.00
_cell_angle_gamma 103.96
loop_
_symmetry_equiv_pos_as_xyz
'x,y,z'
loop_
_atom_site_label
_atom_site_type_symbol
_atom_site_fract_x
_atom_site_fract_y
_atom_site_fract_z
C1 C 0.780 0.559 0.779
C2 C 0.513 0.026 0.636
C3 C 0.487 0.974 0.364
C4 C 0.220 0.441 0.221
Cr1 Cr 0.673 0.345 0.976
Cr2 Cr 0.327 0.655 0.024
Sc1 Sc 0.854 0.709 0.454
Sc2 Sc 0.146 0.291 0.546
U1 U 0.000 0.000 0.000

Entry 8:
# KP3Ru | Alexandria | PBE | optimized geometry
# E_form	2649	meV per atom
# symmetry	Pm-3m, No. 221
# E	-2.672	eV per atom
# energy above the lowest structure with this stoichiometry	2305	meV per atom
# V	23.249	Å³ per atom
data_KP3Ru
_symmetry_space_group_name_H-M 'P 1'
_symmetry_Int_Tables_number 1
_cell_length_a 4.880
_cell_length_b 4.880
_cell_length_c 4.880
_cell_angle_alpha 90.00
_cell_angle_beta 90.00
_cell_angle_gamma 90.00
loop_
_symmetry_equiv_pos_as_xyz
'x,y,z'
loop_
_atom_site_label
_atom_site_type_symbol
_atom_site_fract_x
_atom_site_fract_y
_atom_site_fract_z
K1 K 0.000 0.000 0.000
P1 P 0.500 0.000 0.000
P2 P 0.000 0.000 0.500
P3 P 0.000 0.500 0.000
Ru1 Ru 0.500 0.500 0.500

Entry 9:
# BeTe2Cl | Alexandria | PBE | optimized geometry
# formation energy without anion corrections	0.34	eV per atom
# symmetry	Pmm2, No. 25
# E	-2.622	eV per atom
# energy above the lowest structure with this stoichiometry	696	meV per atom
# V	25.956	Å³ per atom
data_BeTe2Cl
_symmetry_space_group_name_H-M 'P 1'
_symmetry_Int_Tables_number 1
_cell_length_a 3.219
_cell_length_b 6.424
_cell_length_c 5.020
_cell_angle_alpha 90.00
_cell_angle_beta 90.00
_cell_angle_gamma 90.00
loop_
_symmetry_equiv_pos_as_xyz
'x,y,z'
loop_
_atom_site_label
_atom_site_type_symbol
_atom_site_fract_x
_atom_site_fract_y
_atom_site_fract_z
Be1 Be 0.000 0.000 0.376
Te1 Te 0.000 0.000 0.876
Te2 Te 0.500 0.500 0.374
Cl1 Cl 0.500 0.500 0.874

Entry 10:
# AcCdAs2Pd2 | Alexandria | PBE | optimized geometry
# E_form	-716	meV per atom
# symmetry	P-3m1, No. 164
# E	-4.834	eV per atom
# V	21.369	Å³ per atom
data_AcCdAs2Pd2
_symmetry_space_group_name_H-M 'P 1'
_symmetry_Int_Tables_number 1
_cell_length_a 4.382
_cell_length_b 4.382
_cell_length_c 7.709
_cell_angle_alpha 90.00
_cell_angle_beta 90.00
_cell_angle_gamma 120.00
loop_
_symmetry_equiv_pos_as_xyz
'x,y,z'
loop_
_atom_site_label
_atom_site_type_symbol
_atom_site_fract_x
_atom_site_fract_y
_atom_site_fract_z
Pd1 Pd 0.333 0.667 0.315
Pd2 Pd 0.667 0.333 0.685
As1 As 0.333 0.667 0.746
As2 As 0.667 0.333 0.254
Cd1 Cd 0.000 0.000 0.500
Ac1 Ac 0.000 0.000 0.000

Entry 11:
# Ho4Er3ThSe8 | Alexandria | PBE | optimized geometry
# formation energy without anion corrections	-1.67	eV per atom
# symmetry	R-3m, No. 166
# E	-5.878	eV per atom
# V	23.871	Å³ per atom
data_Ho4Er3ThSe8
_symmetry_space_group_name_H-M 'P 1'
_symmetry_Int_Tables_number 1
_cell_length_a 8.149
_cell_length_b 8.139
_cell_length_c 8.154
_cell_angle_alpha 120.10
_cell_angle_beta 119.98
_cell_angle_gamma 90.00
loop_
_symmetry_equiv_pos_as_xyz
'x,y,z'
loop_
_atom_site_label
_atom_site_type_symbol
_atom_site_fract_x
_atom_site_fract_y
_atom_site_fract_z
Er1 Er 0.500 0.500 0.500
Er2 Er 0.000 0.500 0.500
Er3 Er 0.500 0.500 0.000
Ho1 Ho 0.000 0.000 0.500
Ho2 Ho 0.000 0.000 0.000
Ho3 Ho 0.500 0.000 0.500
Ho4 Ho 0.500 0.000 0.000
Se1 Se 0.257 0.246 0.001
Se2 Se 0.255 0.754 0.999
Se3 Se 0.749 0.748 0.499
Se4 Se 0.745 0.246 0.001
Se5 Se 0.251 0.252 0.501
Se6 Se 0.255 0.754 0.510
Se7 Se 0.743 0.754 0.999
Se8 Se 0.745 0.246 0.490
Th1 Th 0.000 0.500 0.000

Entry 12:
# CsMg3Tc | Alexandria | PBE | optimized geometry
# E_form	2126	meV per atom
# symmetry	Pm-3m, No. 221
# E	-1.075	eV per atom
# energy above the lowest structure with this stoichiometry	1475	meV per atom
# V	49.011	Å³ per atom
data_CsMg3Tc
_symmetry_space_group_name_H-M 'P 1'
_symmetry_Int_Tables_number 1
_cell_length_a 6.258
_cell_length_b 6.258
_cell_length_c 6.258
_cell_angle_alpha 90.00
_cell_angle_beta 90.00
_cell_angle_gamma 90.00
loop_
_symmetry_equiv_pos_as_xyz
'x,y,z'
loop_
_atom_site_label
_atom_site_type_symbol
_atom_site_fract_x
_atom_site_fract_y
_atom_site_fract_z
Mg1 Mg 0.000 0.000 0.500
Mg2 Mg 0.500 0.000 0.000
Mg3 Mg 0.000 0.500 0.000
Cs1 Cs 0.000 0.000 0.000
Tc1 Tc 0.500 0.500 0.500